# 1
A plane-wave DFT calculation with PBE was carried out for a relaxed SrTl3Fe crystal.

The structure in extended XYZ format:
```
5
Lattice="-4.6421 -0.0826 4.0910 1.5419 -5.7661 1.6332 3.7902 2.2445 4.3461" Properties=species:S:1:pos:R:3 pbc="T T T"
Sr 0.0000 0.0000 0.0000
Tl 0.7709 -2.8830 0.8166
Tl 1.8951 1.1223 2.1730
Tl -2.3210 -0.0413 2.0455
Fe 0.3450 -1.8021 5.0351
```

total DFT energy (no corrections) = -2.185 eV per atom
volume = 47.39 A^3/atom
E_form = 1.26 eV/atom
N(E_F) = 2.82 states/eV/atom
space-group type = Pm-3m (221)
offset from the most stable computed form = 1217 meV/atom

# 2
A plane-wave DFT calculation with PBE was carried out for a relaxed SrTlFe crystal.

The structure in extended XYZ format:
```
3
Lattice="-0.9616 4.0137 -3.2230 -4.9187 1.6292 -0.7577 -1.5623 4.6040 1.9455" Properties=species:S:1:pos:R:3 pbc="T T T"
Fe -3.7213 5.1234 -1.0176
Sr -5.5819 7.6852 -1.5264
Tl 0.0000 0.0000 0.0000
```

total DFT energy (no corrections) = -3.198 eV per atom
volume = 33.85 A^3/atom
E_form = 0.97 eV/atom
N(E_F) = 2.12 states/eV/atom
space-group type = F-43m (216)